(1)
The following is a DFT calculation (meta-GGA SCAN) of a crystal of KTiO3 relaxed with PBEsol.

## Properties
Total magnetic moment: 0.20 μB/atom
Energy relative to the elements, uncorrected: -2475.3 meV per atom
Calculated total energy: -55.43 eV for the cell shown

Cell: 3.642 3.642 5.593 Å, 90.00 90.00 90.00°
Last column: magnetic moment on the atom in μB.
Sites, in units of the cell vectors:
1 K 0.500 0.500 0.998  0.00
2 O 0.500 0.000 0.610  0.47
3 O 0.000 0.500 0.610  0.47
4 O 0.000 0.000 0.186  0.02
5 Ti 0.000 0.000 0.493  -0.12


(2)
The following is a DFT calculation (meta-GGA SCAN) of a crystal of K3Ti8O17 relaxed with PBEsol.

## Properties
Total magnetic moment: 0.04 μB/atom
Energy relative to the elements, uncorrected: -3165.7 meV per atom
Calculated total energy: -695.59 eV for the cell shown

Cell: 7.619 8.002 12.018 Å, 94.78 90.00 103.76°
Last column: magnetic moment on the atom in μB.
Sites, in units of the cell vectors:
1 K 0.256 0.024 0.553  0.00
2 K 0.778 0.113 0.821  0.00
3 K 0.280 0.118 0.840  0.00
4 K 0.720 0.882 0.160  0.00
5 K 0.222 0.887 0.179  0.00
6 K 0.744 0.976 0.447  0.00
7 Ti 0.557 0.223 0.071  0.28
8 Ti 0.055 0.223 0.071  0.28
9 Ti 0.076 0.302 0.325  0.03
10 Ti 0.575 0.302 0.325  0.03
11 Ti 0.098 0.396 0.578  0.03
12 Ti 0.600 0.396 0.577  0.04
13 Ti 0.622 0.488 0.830  0.18
14 Ti 0.122 0.488 0.830  0.18
15 Ti 0.378 0.512 0.170  0.18
16 Ti 0.878 0.512 0.170  0.18
17 Ti 0.902 0.604 0.422  0.03
18 Ti 0.400 0.604 0.423  0.04
19 Ti 0.425 0.698 0.675  0.03
20 Ti 0.924 0.698 0.675  0.03
21 Ti 0.945 0.777 0.929  0.28
22 Ti 0.443 0.777 0.929  0.28
23 O 0.000 0.000 0.000  -0.03
24 O 0.500 0.000 0.000  -0.03
25 O 0.535 0.121 0.226  0.00
26 O 0.026 0.121 0.226  0.00
27 O 0.553 0.213 0.465  0.00
28 O 0.054 0.213 0.465  0.00
29 O 0.570 0.301 0.709  -0.01
30 O 0.081 0.300 0.709  0.00
31 O 0.587 0.346 0.938  -0.02
32 O 0.086 0.345 0.938  -0.02
33 O 0.317 0.268 0.090  -0.01
34 O 0.818 0.271 0.089  -0.01
35 O 0.842 0.369 0.326  0.00
36 O 0.342 0.368 0.325  0.00
37 O 0.863 0.452 0.568  0.00
38 O 0.363 0.451 0.567  0.00
39 O 0.886 0.545 0.815  -0.01
40 O 0.387 0.546 0.816  -0.01
41 O 0.613 0.454 0.184  -0.01
42 O 0.114 0.455 0.185  -0.01
43 O 0.637 0.549 0.433  0.00
44 O 0.137 0.548 0.432  0.00
45 O 0.658 0.632 0.675  0.00
46 O 0.158 0.631 0.674  0.00
47 O 0.683 0.732 0.910  -0.01
48 O 0.182 0.729 0.911  -0.01
49 O 0.914 0.655 0.062  -0.02
50 O 0.413 0.654 0.062  -0.02
51 O 0.919 0.700 0.291  0.00
52 O 0.430 0.699 0.291  -0.01
53 O 0.946 0.787 0.535  0.00
54 O 0.447 0.787 0.535  0.00
55 O 0.465 0.879 0.774  0.00
56 O 0.974 0.879 0.774  0.00


(3)
The following is a DFT calculation (meta-GGA SCAN) of a crystal of K2Ti8O17 relaxed with PBEsol.

## Properties
Total magnetic moment: 0.00 μB/atom
Energy relative to the elements, uncorrected: -3213.0 meV per atom
Calculated total energy: -337.58 eV for the cell shown

Cell: 3.771 8.076 11.994 Å, 95.65 90.00 103.50°
Sites, in units of the cell vectors:
1 K 0.554 0.109 0.804
2 K 0.446 0.891 0.196
3 Ti 0.110 0.221 0.070
4 Ti 0.152 0.304 0.328
5 Ti 0.195 0.389 0.576
6 Ti 0.242 0.484 0.831
7 Ti 0.758 0.516 0.169
8 Ti 0.805 0.611 0.424
9 Ti 0.848 0.696 0.672
10 Ti 0.890 0.779 0.930
11 O 0.066 0.131 0.218
12 O 0.107 0.215 0.462
13 O 0.151 0.303 0.710
14 O 0.170 0.340 0.936
15 O 0.638 0.276 0.085
16 O 0.686 0.373 0.322
17 O 0.728 0.456 0.568
18 O 0.771 0.543 0.818
19 O 0.229 0.457 0.182
20 O 0.272 0.544 0.432
21 O 0.314 0.627 0.678
22 O 0.362 0.724 0.915
23 O 0.830 0.660 0.064
24 O 0.849 0.697 0.290
25 O 0.893 0.785 0.538
26 O 0.934 0.869 0.782
27 O 0.000 0.000 0.000


(4)
The following is a DFT calculation (meta-GGA SCAN) of a crystal of K3Ti8O17 relaxed with PBEsol.

## Properties
Total magnetic moment: 0.04 μB/atom
Energy relative to the elements, uncorrected: -3164.7 meV per atom
Calculated total energy: -347.77 eV for the cell shown

Cell: 3.812 8.014 12.023 Å, 94.95 90.00 103.76°
Last column: magnetic moment on the atom in μB.
Sites, in units of the cell vectors:
1 K 0.442 0.885 0.164  0.00
2 K 0.557 0.115 0.823  0.00
3 K 0.491 0.983 0.465  0.00
4 Ti 0.151 0.303 0.323  0.03
5 Ti 0.849 0.698 0.675  0.03
6 Ti 0.244 0.489 0.830  0.17
7 Ti 0.756 0.513 0.170  0.19
8 Ti 0.112 0.224 0.070  0.28
9 Ti 0.889 0.777 0.929  0.26
10 Ti 0.197 0.394 0.578  0.03
11 Ti 0.800 0.601 0.423  0.04
12 O 0.173 0.345 0.937  -0.02
13 O 0.827 0.655 0.063  -0.02
14 O 0.274 0.548 0.433  0.00
15 O 0.726 0.451 0.568  0.00
16 O 0.365 0.730 0.913  -0.01
17 O 0.635 0.270 0.090  -0.01
18 O 0.315 0.630 0.675  0.00
19 O 0.684 0.368 0.325  0.00
20 O 0.107 0.214 0.464  0.00
21 O 0.893 0.786 0.535  0.00
22 O 0.000 0.000 0.000  -0.03
23 O 0.151 0.301 0.710  0.00
24 O 0.850 0.700 0.292  -0.01
25 O 0.227 0.455 0.185  -0.01
26 O 0.773 0.545 0.816  -0.01
27 O 0.060 0.120 0.226  0.00
28 O 0.938 0.876 0.776  0.00


(5)
The following is a DFT calculation (meta-GGA SCAN) of a crystal of KTi16O32 relaxed with PBEsol.

## Properties
Total magnetic moment: 0.00 μB/atom
Energy relative to the elements, uncorrected: -3253.7 meV per atom
Calculated total energy: -623.64 eV for the cell shown

Cell: 8.441 8.440 10.301 Å, 112.09 102.60 105.96°
Sites, in units of the cell vectors:
1 K 0.500 0.000 0.500
2 Ti 0.187 0.531 0.006
3 Ti 0.935 0.527 0.755
4 Ti 0.637 0.819 0.111
5 Ti 0.111 0.182 0.642
6 Ti 0.363 0.181 0.889
7 Ti 0.870 0.187 0.390
8 Ti 0.813 0.469 0.994
9 Ti 0.563 0.481 0.751
10 Ti 0.685 0.528 0.506
11 Ti 0.437 0.519 0.249
12 Ti 0.889 0.818 0.358
13 Ti 0.386 0.820 0.860
14 Ti 0.130 0.813 0.610
15 Ti 0.614 0.180 0.140
16 Ti 0.315 0.472 0.494
17 Ti 0.065 0.473 0.245
18 O 0.020 0.636 0.969
19 O 0.376 0.706 0.998
20 O 0.326 0.378 0.030
21 O 0.824 0.375 0.531
22 O 0.077 0.379 0.781
23 O 0.674 0.622 0.970
24 O 0.121 0.051 0.758
25 O 0.371 0.051 0.007
26 O 0.870 0.052 0.508
27 O 0.621 0.051 0.260
28 O 0.375 0.294 0.750
29 O 0.126 0.296 0.503
30 O 0.624 0.294 0.002
31 O 0.770 0.637 0.720
32 O 0.520 0.638 0.469
33 O 0.273 0.639 0.222
34 O 0.727 0.361 0.778
35 O 0.480 0.362 0.531
36 O 0.980 0.364 0.031
37 O 0.874 0.704 0.497
38 O 0.625 0.706 0.250
39 O 0.125 0.705 0.748
40 O 0.130 0.948 0.492
41 O 0.629 0.949 0.993
42 O 0.379 0.949 0.740
43 O 0.879 0.949 0.242
44 O 0.575 0.376 0.281
45 O 0.425 0.624 0.719
46 O 0.923 0.621 0.219
47 O 0.176 0.625 0.469
48 O 0.875 0.295 0.252
49 O 0.230 0.363 0.280


(6)
The following is a DFT calculation (meta-GGA SCAN) of a crystal of K4TiO4 relaxed with PBEsol.

## Properties
Total magnetic moment: 0.00 μB/atom
Energy relative to the elements, uncorrected: -2291.1 meV per atom
ΔE to the lowest computed polymorph: 0.000 eV/atom
Calculated total energy: -189.78 eV for the cell shown

Cell: 6.344 6.388 9.484 Å, 72.17 79.99 67.00°
Sites, in units of the cell vectors:
1 K 0.276 0.039 0.381
2 K 0.253 0.583 0.162
3 K 0.224 0.487 0.562
4 K 0.251 0.231 0.971
5 K 0.749 0.769 0.029
6 K 0.776 0.513 0.438
7 K 0.747 0.417 0.838
8 K 0.724 0.961 0.619
9 Ti 0.228 0.843 0.753
10 Ti 0.772 0.157 0.247
11 O 0.051 0.144 0.655
12 O 0.047 0.663 0.809
13 O 0.625 0.168 0.094
14 O 0.545 0.289 0.377
15 O 0.455 0.711 0.623
16 O 0.375 0.832 0.906
17 O 0.953 0.337 0.191
18 O 0.949 0.856 0.345


(7)
The following is a DFT calculation (meta-GGA SCAN) of a crystal of K6Ti2O7 relaxed with PBEsol.

## Properties
Total magnetic moment: 0.01 μB/atom
Energy relative to the elements, uncorrected: -2437.4 meV per atom
Calculated total energy: -324.42 eV for the cell shown

Cell: 6.523 9.231 9.438 Å, 90.00 91.96 90.00°
Sites, in units of the cell vectors:
1 K 0.749 0.972 0.544
2 K 0.751 0.472 0.956
3 K 0.126 0.157 0.066
4 K 0.374 0.657 0.434
5 K 0.874 0.843 0.934
6 K 0.626 0.343 0.566
7 K 0.630 0.203 0.220
8 K 0.870 0.703 0.280
9 K 0.370 0.797 0.780
10 K 0.130 0.297 0.720
11 K 0.251 0.028 0.456
12 K 0.249 0.528 0.044
13 Ti 0.441 0.855 0.133
14 Ti 0.059 0.355 0.367
15 Ti 0.559 0.145 0.867
16 Ti 0.941 0.645 0.633
17 O 0.500 0.000 0.000
18 O 0.000 0.500 0.500
19 O 0.833 0.177 0.867
20 O 0.667 0.677 0.633
21 O 0.425 0.303 0.927
22 O 0.075 0.803 0.573
23 O 0.575 0.697 0.073
24 O 0.925 0.197 0.427
25 O 0.459 0.098 0.693
26 O 0.041 0.598 0.807
27 O 0.541 0.902 0.307
28 O 0.959 0.402 0.193
29 O 0.333 0.323 0.367
30 O 0.167 0.823 0.133


(8)
The following is a DFT calculation (meta-GGA SCAN) of a crystal of KTlO2 relaxed with PBEsol.

## Properties
Total magnetic moment: 0.00 μB/atom
Energy relative to the elements, uncorrected: -574.9 meV per atom
Calculated total energy: -95.45 eV for the cell shown

Cell: 4.280 4.280 4.280 Å, 60.00 60.00 60.00°
Sites, in units of the cell vectors:
1 Tl 0.500 0.500 0.500
2 K 0.000 0.000 0.000
3 O 0.250 0.250 0.250
4 O 0.750 0.750 0.750


(9)
The following is a DFT calculation (meta-GGA SCAN) of a crystal of KTl3O relaxed with PBEsol.

## Properties
Total magnetic moment: 0.00 μB/atom
Energy relative to the elements, uncorrected: -218.1 meV per atom
Calculated total energy: -232.73 eV for the cell shown

Cell: 5.175 5.175 5.175 Å, 90.00 90.00 90.00°
Sites, in units of the cell vectors:
1 Tl 0.000 0.500 0.000
2 Tl 0.000 0.000 0.500
3 Tl 0.500 0.000 0.000
4 K 0.500 0.500 0.500
5 O 0.000 0.000 0.000


(10)
The following is a DFT calculation (meta-GGA SCAN) of a crystal of K3TlO relaxed with PBEsol.

## Properties
Total magnetic moment: 0.37 μB/atom
Energy relative to the elements, uncorrected: 365.8 meV per atom
Calculated total energy: -101.75 eV for the cell shown

Cell: 6.499 6.499 6.499 Å, 90.00 90.00 90.00°
Last column: magnetic moment on the atom in μB.
Sites, in units of the cell vectors:
1 Tl 0.000 0.000 0.000  0.18
2 K 0.000 0.500 0.000  0.02
3 K 0.000 0.000 0.500  0.02
4 K 0.500 0.000 0.000  0.02
5 O 0.500 0.500 0.500  0.94


(11)
The following is a DFT calculation (meta-GGA SCAN) of a crystal of K5Tl3O relaxed with PBEsol.

## Properties
Total magnetic moment: 0.00 μB/atom
Energy relative to the elements, uncorrected: -561.7 meV per atom
Calculated total energy: -1080.02 eV for the cell shown

Cell: 8.301 8.723 16.959 Å, 90.00 104.17 90.00°
Sites, in units of the cell vectors:
1 K 0.208 0.750 0.013
2 K 0.792 0.250 0.987
3 K 0.806 0.750 0.013
4 K 0.194 0.250 0.987
5 K 0.550 0.467 0.100
6 K 0.450 0.967 0.900
7 K 0.550 0.033 0.100
8 K 0.450 0.533 0.900
9 K 0.488 0.250 0.532
10 K 0.512 0.750 0.468
11 K 0.045 0.250 0.532
12 K 0.955 0.750 0.468
13 K 0.375 0.750 0.259
14 K 0.625 0.250 0.741
15 K 0.884 0.750 0.259
16 K 0.116 0.250 0.741
17 K 0.320 0.535 0.641
18 K 0.680 0.035 0.359
19 K 0.320 0.965 0.641
20 K 0.680 0.465 0.359
21 O 0.323 0.250 0.647
22 O 0.677 0.750 0.353
23 O 0.510 0.750 0.019
24 O 0.490 0.250 0.981
25 Tl 0.184 0.443 0.367
26 Tl 0.816 0.943 0.633
27 Tl 0.184 0.057 0.367
28 Tl 0.816 0.557 0.633
29 Tl 0.076 0.464 0.152
30 Tl 0.924 0.964 0.848
31 Tl 0.076 0.036 0.152
32 Tl 0.924 0.536 0.848
33 Tl 0.337 0.250 0.250
34 Tl 0.663 0.750 0.750
35 Tl 0.913 0.250 0.250
36 Tl 0.087 0.750 0.750


(12)
The following is a DFT calculation (meta-GGA SCAN) of a crystal of KTlO2 relaxed with PBEsol.

## Properties
Total magnetic moment: 0.00 μB/atom
Energy relative to the elements, uncorrected: -1162.9 meV per atom
Calculated total energy: -97.80 eV for the cell shown

Cell: 3.445 3.445 6.391 Å, 74.36 74.36 60.00°
Sites, in units of the cell vectors:
1 Tl 0.000 0.000 0.000
2 K 0.500 0.500 0.500
3 O 0.268 0.268 0.197
4 O 0.732 0.732 0.803


Copy entry 11 word for word.
The following is a DFT calculation (meta-GGA SCAN) of a crystal of K5Tl3O relaxed with PBEsol.

## Properties
Total magnetic moment: 0.00 μB/atom
Energy relative to the elements, uncorrected: -561.7 meV per atom
Calculated total energy: -1080.02 eV for the cell shown

Cell: 8.301 8.723 16.959 Å, 90.00 104.17 90.00°
Sites, in units of the cell vectors:
1 K 0.208 0.750 0.013
2 K 0.792 0.250 0.987
3 K 0.806 0.750 0.013
4 K 0.194 0.250 0.987
5 K 0.550 0.467 0.100
6 K 0.450 0.967 0.900
7 K 0.550 0.033 0.100
8 K 0.450 0.533 0.900
9 K 0.488 0.250 0.532
10 K 0.512 0.750 0.468
11 K 0.045 0.250 0.532
12 K 0.955 0.750 0.468
13 K 0.375 0.750 0.259
14 K 0.625 0.250 0.741
15 K 0.884 0.750 0.259
16 K 0.116 0.250 0.741
17 K 0.320 0.535 0.641
18 K 0.680 0.035 0.359
19 K 0.320 0.965 0.641
20 K 0.680 0.465 0.359
21 O 0.323 0.250 0.647
22 O 0.677 0.750 0.353
23 O 0.510 0.750 0.019
24 O 0.490 0.250 0.981
25 Tl 0.184 0.443 0.367
26 Tl 0.816 0.943 0.633
27 Tl 0.184 0.057 0.367
28 Tl 0.816 0.557 0.633
29 Tl 0.076 0.464 0.152
30 Tl 0.924 0.964 0.848
31 Tl 0.076 0.036 0.152
32 Tl 0.924 0.536 0.848
33 Tl 0.337 0.250 0.250
34 Tl 0.663 0.750 0.750
35 Tl 0.913 0.250 0.250
36 Tl 0.087 0.750 0.750